No. 1
A relaxed CrGaPd2C crystal, computed with GGA-PBE.

## Properties
Total moment ... 0.0032 μB per atom
Symmetry ... P4/mmm
E_form ... 0.78 eV/atom

Unit cell a=4.1300 b=4.1099 c=4.1300 alpha=90.00 beta=90.00 gamma=90.00
Atoms (fractional coordinates):
Cr (0.5000, 0.5000, 0.5000)
C (0.0000, 0.0000, 0.0000)
Ga (0.0000, 0.5000, 0.0000)
Pd (0.0000, 0.0000, 0.5000)
Pd (0.5000, 0.0000, 0.0000)

---

No. 2
A relaxed Tl2VInI6 crystal, computed with GGA-PBE.

## Properties
Formation energy without anion corrections ... -48.44 kJ/mol of atoms
Total moment ... 0.1993 μB per atom
Symmetry ... R3

Unit cell a=8.3712 b=8.3708 c=8.5091 alpha=60.53 beta=60.53 gamma=60.00
Atoms (fractional coordinates):
Tl (0.5333, 0.5333, 0.4002)
Tl (0.0187, 0.0187, 0.9439)
V (0.3258, 0.3259, 0.0224)
In (0.8188, 0.8188, 0.5436)
I (0.5468, 0.1990, 0.2489)
I (0.1991, 0.0053, 0.2488)
I (0.0053, 0.5467, 0.2489)
I (0.4442, 0.6533, 0.7861)
I (0.6532, 0.1163, 0.7862)
I (0.1163, 0.4442, 0.7862)

---

No. 3
A relaxed KFeTc crystal, computed with GGA-PBE.

## Properties
Total moment ... 1.3215 μB per atom
Symmetry ... P3m1
E_form ... 1.47 eV/atom

Unit cell a=5.0827 b=5.0827 c=2.5346 alpha=90.00 beta=90.00 gamma=120.00
Atoms (fractional coordinates):
Fe (0.0000, 0.0000, 0.0835)
K (0.6667, 0.3333, 0.2617)
Tc (0.3333, 0.6667, 0.6548)

---

No. 4
A relaxed CuPt3 crystal, computed with GGA-PBE.

## Properties
Total moment ... 0.0002 μB per atom
Symmetry ... Pm-3n
E_form ... 0.22 eV/atom

Unit cell a=4.9911 b=4.9911 c=4.9911 alpha=90.00 beta=90.00 gamma=90.00
Atoms (fractional coordinates):
Cu (0.0000, 0.0000, 0.0000)
Cu (0.5000, 0.5000, 0.5000)
Pt (0.0000, 0.2500, 0.5000)
Pt (0.0000, 0.7500, 0.5000)
Pt (0.2500, 0.5000, 0.0000)
Pt (0.5000, 0.0000, 0.2500)
Pt (0.5000, 0.0000, 0.7500)
Pt (0.7500, 0.5000, 0.0000)

---

No. 5
A relaxed La2Tb2DyY4 crystal, computed with GGA-PBE.

## Properties
Total moment ... 0.0000 μB per atom
Symmetry ... C2/m
E_form ... 0.00 eV/atom

Unit cell a=3.6387 b=9.6017 c=9.6514 alpha=115.21 beta=90.00 gamma=100.92
Atoms (fractional coordinates):
La (0.3349, 0.6699, 0.0026)
La (0.6651, 0.3301, 0.9974)
Tb (0.8525, 0.7049, 0.3369)
Tb (0.1475, 0.2951, 0.6631)
Dy (0.0000, 0.0000, 0.0000)
Y (0.8144, 0.6287, 0.6634)
Y (0.1856, 0.3713, 0.3366)
Y (0.5201, 0.0401, 0.3361)
Y (0.4799, 0.9599, 0.6639)

---

No. 6
A relaxed CaCo crystal, computed with GGA-PBE.

## Properties
Total moment ... 0.4913 μB per atom
Symmetry ... I4/mmm
E_form ... 0.26 eV/atom

Unit cell a=10.3616 b=10.3616 c=3.9170 alpha=90.00 beta=90.00 gamma=90.00
Atoms (fractional coordinates):
Ca (0.2344, 0.5000, 0.0000)
Ca (0.7656, 0.5000, 0.0000)
Ca (0.5000, 0.7656, 0.0000)
Ca (0.5000, 0.2344, 0.0000)
Ca (0.7344, 0.0000, 0.5000)
Ca (0.2656, 0.0000, 0.5000)
Ca (0.0000, 0.2656, 0.5000)
Ca (0.0000, 0.7344, 0.5000)
Co (0.7827, 0.7827, 0.0000)
Co (0.7827, 0.2173, 0.0000)
Co (0.2173, 0.7827, 0.0000)
Co (0.2173, 0.2173, 0.0000)
Co (0.2827, 0.2827, 0.5000)
Co (0.2827, 0.7173, 0.5000)
Co (0.7173, 0.2827, 0.5000)
Co (0.7173, 0.7173, 0.5000)

---

No. 7
A relaxed ReSi2Pd crystal, computed with GGA-PBE.

## Properties
Formation energy without anion corrections ... -24.89 kJ/mol of atoms
Total moment ... 0.0000 μB per atom
Symmetry ... P4/mmm

Unit cell a=3.0672 b=3.0672 c=5.8619 alpha=90.00 beta=90.00 gamma=90.00
Atoms (fractional coordinates):
Re (0.5000, 0.5000, 0.0000)
Si (0.0000, 0.0000, 0.7680)
Si (0.0000, 0.0000, 0.2320)
Pd (0.5000, 0.5000, 0.5000)

---

No. 8
A relaxed YNpFe4 crystal, computed with GGA-PBE.

## Properties
Total moment ... 0.7108 μB per atom
Symmetry ... C2/m
E_form ... 0.17 eV/atom

Unit cell a=4.8040 b=6.0773 c=7.8337 alpha=112.82 beta=107.19 gamma=90.00
Atoms (fractional coordinates):
Y (0.8337, 0.8007, 0.6015)
Y (0.1663, 0.1993, 0.3985)
Np (0.2061, 0.4181, 0.8362)
Np (0.7939, 0.5819, 0.1638)
Fe (0.2707, 0.6437, 0.2874)
Fe (0.4456, 0.1014, 0.8175)
Fe (0.0000, 0.1934, 0.0000)
Fe (0.5544, 0.2838, 0.1825)
Fe (0.7293, 0.3563, 0.7126)
Fe (0.5544, 0.8986, 0.1825)
Fe (0.0000, 0.8066, 0.0000)
Fe (0.4456, 0.7162, 0.8175)

---

No. 9
A relaxed Cs3KAg2Br9 crystal, computed with GGA-PBE.

## Properties
Formation energy without anion corrections ... -98.52 kJ/mol of atoms
Total moment ... 0.0000 μB per atom
Symmetry ... P-3m1

Unit cell a=7.7557 b=7.7557 c=10.8614 alpha=90.00 beta=90.00 gamma=120.00
Atoms (fractional coordinates):
Cs (0.3333, 0.6667, 0.7168)
Cs (0.0000, 0.0000, 0.0000)
Cs (0.6667, 0.3333, 0.2832)
K (0.0000, 0.0000, 0.5000)
Ag (0.3333, 0.6667, 0.1493)
Ag (0.6667, 0.3333, 0.8507)
Br (0.8328, 0.1672, 0.7149)
Br (0.8328, 0.6655, 0.7149)
Br (0.3345, 0.1672, 0.7149)
Br (0.6655, 0.8328, 0.2851)
Br (0.1672, 0.3345, 0.2851)
Br (0.1672, 0.8328, 0.2851)
Br (0.5000, 0.0000, 0.0000)
Br (0.0000, 0.5000, 0.0000)
Br (0.5000, 0.5000, 0.0000)

---

No. 10
A relaxed TlSb4Pb crystal, computed with GGA-PBE.

## Properties
Formation energy without anion corrections ... 13.65 kJ/mol of atoms
Total moment ... 0.0000 μB per atom
Symmetry ... F-43m

Unit cell a=6.3843 b=6.3843 c=6.3843 alpha=60.00 beta=60.00 gamma=60.00
Atoms (fractional coordinates):
Tl (0.7500, 0.7500, 0.7500)
Sb (0.8758, 0.3747, 0.3747)
Sb (0.3747, 0.3747, 0.8758)
Sb (0.3747, 0.8758, 0.3747)
Sb (0.3747, 0.3747, 0.3747)
Pb (0.0000, 0.0000, 0.0000)

---

No. 11
A relaxed AcYLuSn crystal, computed with GGA-PBE.

## Properties
Total moment ... 0.0032 μB per atom
Symmetry ... F-43m
E_form ... -0.13 eV/atom

Unit cell a=5.5254 b=5.5254 c=5.5254 alpha=60.00 beta=60.00 gamma=60.00
Atoms (fractional coordinates):
Y (0.7500, 0.7500, 0.7500)
Ac (0.0000, 0.0000, 0.0000)
Lu (0.2500, 0.2500, 0.2500)
Sn (0.5000, 0.5000, 0.5000)

---

No. 12
A relaxed KHfSbPb2 crystal, computed with GGA-PBE.

## Properties
Formation energy without anion corrections ... -4.20 kJ/mol of atoms
Total moment ... 0.0000 μB per atom
Symmetry ... P4/mmm

Unit cell a=5.7224 b=5.5591 c=5.7224 alpha=90.00 beta=90.00 gamma=90.00
Atoms (fractional coordinates):
Pb (0.0000, 0.0000, 0.5000)
Pb (0.5000, 0.0000, 0.0000)
Sb (0.0000, 0.5000, 0.0000)
K (0.5000, 0.5000, 0.5000)
Hf (0.0000, 0.0000, 0.0000)

---

What is the total moment in the tenth record?
0.0000 μB per atom